Entry from the Alexandria database: a relaxed structure of Dy2BeGe2Rh5 (PBE).

a = 3.4632 Å, b = 9.7187 Å, c = 9.7187 Å
α = 90.00°, β = 90.00°, γ = 90.00°
With the nearest neighbours (Å) after each atom.
Fractional coordinates of all 20 atoms:
Rh 0.5000 0.3009 0.5636  2 Ge 2.49, 2 Be 2.67
Rh 0.5000 0.0000 0.5000  4 Ge 2.48
Rh 0.5000 0.8009 0.9364  2 Ge 2.49, 2 Be 2.67
Rh 0.5000 0.5636 0.6991  2 Ge 2.49, 2 Be 2.67
Rh 0.5000 0.9364 0.1991  2 Ge 2.49, 2 Be 2.67
Rh 0.5000 0.0636 0.8009  2 Ge 2.49, 2 Be 2.67
Rh 0.5000 0.1991 0.0636  2 Ge 2.49, 2 Be 2.67
Rh 0.5000 0.6991 0.4364  2 Ge 2.49, 2 Be 2.67
Rh 0.5000 0.4364 0.3009  2 Ge 2.49, 2 Be 2.67
Rh 0.5000 0.5000 0.0000  4 Ge 2.48
Dy 0.0000 0.6718 0.1718  3 Ge 2.74-2.95, 2 Rh 2.93
Dy 0.0000 0.8282 0.6718  3 Ge 2.74-2.95, 2 Rh 2.93
Dy 0.0000 0.1718 0.3282  3 Ge 2.74-2.95, 2 Rh 2.93
Dy 0.0000 0.3282 0.8282  3 Ge 2.74-2.95, 2 Rh 2.93
Ge 0.0000 0.6291 0.8709  6 Rh 2.48-2.49, 1 Dy 2.74
Ge 0.0000 0.3709 0.1291  6 Rh 2.48-2.49, 1 Dy 2.74
Ge 0.0000 0.1291 0.6291  6 Rh 2.48-2.49, 1 Dy 2.74
Ge 0.0000 0.8709 0.3709  6 Rh 2.48-2.49, 1 Dy 2.74
Be 0.0000 0.0000 0.0000  8 Rh 2.67
Be 0.0000 0.5000 0.5000  8 Rh 2.67

Calculated values
The calculation puts the formation energy at -0.69 eV per atom. The magnetization is 0.000 μB per cell.